The following is a PBE calculation of AlN after structural relaxation, from the Alexandria database.

abc: 7.8633 7.8633 3.2313
angles: 90.00 90.00 90.00
With the nearest neighbours (Å) after each atom.
Positions (direct):
Al (0.3756, 0.2044, 0.0000)  4 N 1.85-1.93
Al (0.6244, 0.7956, 0.0000)  4 N 1.85-1.93
Al (0.7956, 0.3756, 0.0000)  4 N 1.85-1.93
Al (0.2044, 0.6244, 0.0000)  4 N 1.85-1.93
Al (0.8756, 0.7044, 0.5000)  4 N 1.85-1.93
Al (0.1244, 0.2956, 0.5000)  4 N 1.85-1.93
Al (0.2956, 0.8756, 0.5000)  4 N 1.85-1.93
Al (0.7044, 0.1244, 0.5000)  4 N 1.85-1.93
N (0.3899, 0.7854, 0.0000)  4 Al 1.85-1.93
N (0.6101, 0.2146, 0.0000)  4 Al 1.85-1.93
N (0.2146, 0.3899, 0.0000)  4 Al 1.85-1.93
N (0.7854, 0.6101, 0.0000)  4 Al 1.85-1.93
N (0.8899, 0.2854, 0.5000)  4 Al 1.85-1.93
N (0.1101, 0.7146, 0.5000)  4 Al 1.85-1.93
N (0.7146, 0.8899, 0.5000)  4 Al 1.85-1.93
N (0.2854, 0.1101, 0.5000)  4 Al 1.85-1.93

ΔE_f (raw)	-1.267	eV/atom
SG	I4/m (87)
M_tot	0.00	μB per cell
DOS(E_F)	0.0	states/eV/cell

=====

The following is a PBE calculation of TaTl2Cd after structural relaxation, from the Alexandria database.

abc: 5.4581 5.4581 5.6547
angles: 78.83 78.83 33.55
With the nearest neighbours (Å) after each atom.
Positions (direct):
Tl (0.0055, 0.0055, 0.9867)  3 Ta 3.07-3.22, 6 Tl 3.13-3.35, 3 Cd 3.20-3.21
Tl (0.4945, 0.4945, 0.5133)  3 Ta 3.07-3.22, 6 Tl 3.13-3.35, 3 Cd 3.20-3.21
Cd (0.2500, 0.2500, 0.2500)  2 Cd 3.15, 6 Tl 3.20-3.21, 4 Ta 3.24
Ta (0.7500, 0.7500, 0.7500)  6 Tl 3.07-3.22, 2 Ta 3.15, 4 Cd 3.24

SG	C2/m (12)
M_tot	0.00	μB per cell
ΔE_f	572	meV per atom
DOS(E_F)	2.9	states/eV/cell

=====

The following is a PBE calculation of MgSe2Br after structural relaxation, from the Alexandria database.

abc: 5.8564 5.8564 5.2431
angles: 83.46 83.46 33.25
With the nearest neighbours (Å) after each atom.
Positions (direct):
Br (0.7500, 0.7500, 0.7500)  2 Se 3.02, 4 Mg 3.11, 2 Br 3.35
Mg (0.2500, 0.2500, 0.2500)  4 Se 2.79, 4 Br 3.11
Se (0.9443, 0.9443, 0.1026)  2 Se 2.69, 2 Mg 2.79
Se (0.5557, 0.5557, 0.3974)  2 Se 2.69, 2 Mg 2.79

ΔE_f (raw)	-0.411	eV/atom
SG	C2/m (12)
M_tot	0.00	μB per cell
DOS(E_F)	0.8	states/eV/cell

=====

The following is a PBE calculation of TaAlZn2 after structural relaxation, from the Alexandria database.

abc: 4.3618 2.8520 5.1967
angles: 90.01 90.00 90.00
With the nearest neighbours (Å) after each atom.
Positions (direct):
Zn (0.0000, 0.2502, 0.9865)  2 Zn 2.46-2.74, 2 Al 2.58
Zn (0.0000, 0.2498, 0.5135)  2 Zn 2.46-2.74, 2 Al 2.58
Al (0.5000, 0.2500, 0.2500)  4 Zn 2.58, 2 Al 2.85
Ta (0.5000, 0.7500, 0.7500)  2 Ta 2.85, 8 Zn 2.88, 4 Al 2.96

SG	Pmmm (47)
M_tot	0.00	μB per cell
ΔE_f	2	meV per atom
DOS(E_F)	2.0	states/eV/cell

=====

The following is a PBE calculation of ZnIn2Br after structural relaxation, from the Alexandria database.

abc: 3.7151 3.7151 7.6324
angles: 90.00 90.00 91.62
With the nearest neighbours (Å) after each atom.
Positions (direct):
Br (0.5000, 0.5000, 0.7500)  8 In 3.37-3.42, 4 Br 3.72
In (0.0000, 0.0000, 0.0316)  4 Zn 3.08-3.14, 1 In 3.33, 4 Br 3.37-3.42
In (0.0000, 0.0000, 0.4684)  4 Zn 3.08-3.14, 1 In 3.33, 4 Br 3.37-3.42
Zn (0.5000, 0.5000, 0.2500)  8 In 3.08-3.14

ΔE_f (raw)	-0.097	eV/atom
SG	Cmmm (65)
M_tot	0.00	μB per cell
DOS(E_F)	2.0	states/eV/cell

=====

The following is a PBE calculation of Sm2DyTe2S2 after structural relaxation, from the Alexandria database.

abc: 5.0574 5.0574 8.7191
angles: 106.86 106.86 90.00
With the nearest neighbours (Å) after each atom.
Positions (direct):
Sm (0.3860, 0.3860, 0.7719)  4 S 3.11, 1 Te 3.15
Sm (0.6140, 0.6140, 0.2281)  4 S 3.11, 1 Te 3.15
Dy (0.0000, 0.0000, 0.0000)  4 S 2.53
Te (0.1878, 0.1878, 0.3756)  1 Dy 2.99, 1 Sm 3.15
Te (0.8122, 0.8122, 0.6244)  1 Dy 2.99, 1 Sm 3.15
S (0.0000, 0.5000, 0.0000)  2 Dy 2.53
S (0.5000, 0.0000, 0.0000)  2 Dy 2.53

ΔE_f (raw)	-1.436	eV/atom
SG	I4/mmm (139)
M_tot	0.01	μB per cell
DOS(E_F)	2.8	states/eV/cell

=====

The following is a PBE calculation of Y4PI5 after structural relaxation, from the Alexandria database.

abc: 4.1377 8.7316 9.7583
angles: 102.41 102.24 90.00
With the nearest neighbours (Å) after each atom.
Positions (direct):
Y (0.6417, 0.0711, 0.2834)  1 P 2.64
Y (0.9995, 0.2040, 0.9990)  2 P 2.73
Y (0.3583, 0.9289, 0.7166)  1 P 2.64
Y (0.0005, 0.7960, 0.0010)  2 P 2.73
P (0.5000, 0.0000, 0.0000)  6 Y 2.64-2.73
I (0.1652, 0.3379, 0.3305)  3 Y 3.07-3.12
I (0.1710, 0.8266, 0.3420)  3 Y 3.11-3.20
I (0.8290, 0.1734, 0.6580)  3 Y 3.11-3.20
I (0.5000, 0.5000, 0.0000)  4 Y 3.31
I (0.8348, 0.6621, 0.6695)  3 Y 3.07-3.12

ΔE_f (raw)	-1.336	eV/atom
SG	C2/m (12)
M_tot	0.00	μB per cell
DOS(E_F)	3.3	states/eV/cell

=====

The following is a PBE calculation of ScFeBr2 after structural relaxation, from the Alexandria database.

abc: 10.1650 10.1650 10.1650
angles: 19.66 19.66 19.66
With the nearest neighbours (Å) after each atom.
Positions (direct):
Br (0.0229, 0.0229, 0.0229)  3 Sc 2.70
Br (0.4771, 0.4771, 0.4771)  3 Sc 2.70
Fe (0.2500, 0.2500, 0.2500)  6 Fe 3.47, 6 Br 3.75
Sc (0.7500, 0.7500, 0.7500)  6 Br 2.70

ΔE_f (raw)	-0.197	eV/atom
SG	R-3m (166)
M_tot	3.28	μB per cell
DOS(E_F)	6.1	states/eV/cell